Entry 1:
# Ho4Sc2Cd (PBE, optimized geometry)
# - Energy of formation: 0.04 eV/atom
data_Ho4Sc2Cd
_chemical_formula_sum 'Ho8 Sc4 Cd2'
_cell_length_a 5.368
_cell_length_b 6.604
_cell_length_c 11.392
_cell_angle_alpha 90.00
_cell_angle_beta 103.06
_cell_angle_gamma 90.00
_symmetry_space_group_name_H-M 'P 1 21/m 1'
_symmetry_Int_Tables_number 11
loop_
_symmetry_equiv_pos_as_xyz
'x,y,z'
'-x,-y,-z'
'-x,y+1/2,-z'
'x,-y+1/2,z'
loop_
_atom_site_label
_atom_site_type_symbol
_atom_site_fract_x
_atom_site_fract_y
_atom_site_fract_z
_atom_site_occupancy
Ho1 Ho 0.086 0.250 0.138 1
Ho2 Ho 0.220 0.750 0.423 1
Ho3 Ho 0.345 0.508 0.707 1
Sc1 Sc 0.213 0.250 0.431 1
Sc2 Sc 0.492 0.750 0.024 1
Cd1 Cd 0.057 0.750 0.150 1

Entry 2:
# ZrCuRh2 (PBE, optimized geometry)
# - Energy of formation: -0.31 eV/atom
data_ZrCuRh2
_chemical_formula_sum 'Zr1 Cu1 Rh2'
_cell_length_a 3.391
_cell_length_b 3.391
_cell_length_c 5.512
_cell_angle_alpha 90.00
_cell_angle_beta 90.00
_cell_angle_gamma 90.00
_symmetry_space_group_name_H-M 'P 4 m m'
_symmetry_Int_Tables_number 99
loop_
_symmetry_equiv_pos_as_xyz
'x,y,z'
'-y,x,z'
'-x,-y,z'
'y,-x,z'
'-x,y,z'
'y,x,z'
'x,-y,z'
'-y,-x,z'
loop_
_atom_site_label
_atom_site_type_symbol
_atom_site_fract_x
_atom_site_fract_y
_atom_site_fract_z
_atom_site_occupancy
Zr1 Zr 0.000 0.000 0.000 1
Cu1 Cu 0.500 0.500 0.279 1
Rh1 Rh 0.000 0.000 0.475 1
Rh2 Rh 0.500 0.500 0.765 1

Entry 3:
# Hf3ZrIn2 (PBE, optimized geometry)
# - Excess energy over the best structure of this formula in the dataset: 0 meV/atom
# - Energy of formation: -0.10 eV/atom
data_Hf3ZrIn2
_chemical_formula_sum 'Hf12 Zr4 In8'
_cell_length_a 5.457
_cell_length_b 6.319
_cell_length_c 15.524
_cell_angle_alpha 90.00
_cell_angle_beta 90.44
_cell_angle_gamma 90.00
_symmetry_space_group_name_H-M 'P 1 21/c 1'
_symmetry_Int_Tables_number 14
loop_
_symmetry_equiv_pos_as_xyz
'x,y,z'
'-x,-y,-z'
'-x,y+1/2,-z+1/2'
'x,-y+1/2,z+1/2'
loop_
_atom_site_label
_atom_site_type_symbol
_atom_site_fract_x
_atom_site_fract_y
_atom_site_fract_z
_atom_site_occupancy
Hf1 Hf 0.015 0.248 0.247 1
Hf2 Hf 0.151 0.503 0.917 1
Hf3 Hf 0.341 0.747 0.091 1
Zr1 Zr 0.154 0.501 0.417 1
In1 In 0.344 0.250 0.076 1
In2 In 0.499 0.503 0.750 1

Entry 4:
# Hf3Zn3Rh2 (PBE, optimized geometry)
# - Energy of formation: -0.52 eV/atom
data_Hf3Zn3Rh2
_chemical_formula_sum 'Hf3 Zn3 Rh2'
_cell_length_a 7.0520
_cell_length_b 7.0520
_cell_length_c 3.3163
_cell_angle_alpha 90.00
_cell_angle_beta 90.00
_cell_angle_gamma 120.00
_symmetry_space_group_name_H-M 'P -6 2 m'
_symmetry_Int_Tables_number 189
_symmetry_space_group_name_Hall 'P -6 -2'
loop_
_atom_site_label
_atom_site_type_symbol
_atom_site_fract_x
_atom_site_fract_y
_atom_site_fract_z
_atom_site_occupancy
Hf1 Hf 0.0000 0.4162 0.0000 1
Zn1 Zn 0.0000 0.7760 0.5000 1
Rh1 Rh 0.3333 0.6667 0.5000 1

Entry 5:
# Sm3ScTl3S8 (PBE, optimized geometry)
# - Formation energy (no corrections): -1.44 eV per atom
data_Sm3ScTl3S8
_chemical_formula_sum 'Sm6 Sc2 Tl6 S16'
_cell_length_a 14.020
_cell_length_b 8.094
_cell_length_c 8.701
_cell_angle_alpha 90.00
_cell_angle_beta 122.53
_cell_angle_gamma 90.00
_symmetry_space_group_name_H-M 'C 1 2/m 1'
_symmetry_Int_Tables_number 12
loop_
_symmetry_equiv_pos_as_xyz
'x,y,z'
'-x,-y,-z'
'-x,y,-z'
'x,-y,z'
'x+1/2,y+1/2,z'
'-x+1/2,-y+1/2,-z'
'-x+1/2,y+1/2,-z'
'x+1/2,-y+1/2,z'
loop_
_atom_site_label
_atom_site_type_symbol
_atom_site_fract_x
_atom_site_fract_y
_atom_site_fract_z
_atom_site_occupancy
Sm1 Sm 0.000 0.000 0.000 1
Sm2 Sm 0.250 0.250 0.000 1
Sc1 Sc 0.000 0.500 0.000 1
Tl1 Tl 0.000 0.500 0.500 1
Tl2 Tl 0.250 0.250 0.500 1
S1 S 0.012 0.265 0.802 1
S2 S 0.223 0.500 0.198 1
S3 S 0.236 0.000 0.208 1

Entry 6:
# TlBi3Sb3 (PBE, optimized geometry)
# - Formation energy (no corrections): 0.30 eV per atom
data_TlBi3Sb3
_chemical_formula_sum 'Tl2 Bi6 Sb6'
_cell_length_a 8.667
_cell_length_b 8.667
_cell_length_c 8.667
_cell_angle_alpha 90.00
_cell_angle_beta 90.00
_cell_angle_gamma 90.00
_symmetry_space_group_name_H-M 'P m -3 n'
_symmetry_Int_Tables_number 223
_symmetry_space_group_name_Hall '-P 4n 2 3'
loop_
_atom_site_label
_atom_site_type_symbol
_atom_site_fract_x
_atom_site_fract_y
_atom_site_fract_z
_atom_site_occupancy
Tl1 Tl 0.000 0.000 0.000 1
Bi1 Bi 0.000 0.250 0.500 1
Sb1 Sb 0.000 0.500 0.250 1

| no. | density of states at the Fermi level (states/eV/f.u.) |
| --- | --- |
| 1 | 12.347 |
| 2 | 5.862 |
| 3 | 5.613 |
| 4 | 4.217 |
| 5 | 5.847 |
| 6 | 5.570 |